A relaxed structure of MgZrTl, computed with PBE-GGA.

a = 6.358 Å, b = 4.305 Å, c = 10.869 Å
α = 90.00°, β = 112.14°, γ = 90.00°
Positions (direct):
Mg  0.253  0.000  0.409
Mg  0.253  0.500  0.909
Mg  0.584  0.000  0.080
Mg  0.584  0.500  0.580
Zr  0.413  0.000  0.743
Zr  0.413  0.500  0.243
Zr  0.746  0.000  0.423
Zr  0.746  0.500  0.923
Tl  0.092  0.000  0.079
Tl  0.092  0.500  0.579
Tl  0.898  0.000  0.753
Tl  0.898  0.500  0.253

Calculated values
formation energy from the elements	-2.1	kJ/mol of atoms
size of the total moment	0.00	μB/f.u.
space group	Cm
VASP energy	-4.1912	eV per atom